(1)
# SrSi2W SCAN PBEsol geometry
data_SrSi2W
_cell_length_a 8.3425
_cell_length_b 3.2632
_cell_length_c 7.0548
_cell_angle_alpha 90.00
_cell_angle_beta 119.60
_cell_angle_gamma 90.00
_space_group_name_H-M_alt 'C 1 m 1'
_space_group_IT_number 8
loop_
_space_group_symop_operation_xyz
'x,y,z'
'x,-y,z'
'x+1/2,y+1/2,z'
'x+1/2,-y+1/2,z'
loop_
_atom_site_label
_atom_site_type_symbol
_atom_site_fract_x
_atom_site_fract_y
_atom_site_fract_z
_atom_site_occupancy
Sr1 Sr 0.0000 0.0000 0.0000 1
Si1 Si 0.1305 0.0000 0.6220 1
Si2 Si 0.4325 0.0000 0.3427 1
W1 W 0.2790 0.5000 0.4724 1
# ΔE_f (raw), meV per atom: 114
# Fermi-level density of states, states/eV/atom: 0.775
# Offset from the most stable computed form, meV/atom: 0.0
# Energy, eV/atom: -27.884

(2)
# SrSi2W SCAN PBEsol geometry
data_SrSi2W
_cell_length_a 5.0914
_cell_length_b 5.0914
_cell_length_c 15.9750
_cell_angle_alpha 90.00
_cell_angle_beta 90.00
_cell_angle_gamma 90.00
_space_group_name_H-M_alt 'I 41/a m d'
_space_group_IT_number 141
loop_
_space_group_symop_operation_xyz
'x,y,z'
'-x,-y,-z'
'-y+1/4,x+3/4,z+1/4'
'y+1/4,-x+3/4,-z+1/4'
'-x+1/2,-y,z+1/2'
'x+1/2,y,-z+1/2'
'y+1/4,-x+1/4,z+3/4'
'-y+1/4,x+1/4,-z+3/4'
'x,-y,-z'
'-x,y,z'
'-y+1/4,-x+1/4,-z+3/4'
'y+1/4,x+1/4,z+3/4'
'-x+1/2,y,-z+1/2'
'x+1/2,-y,z+1/2'
'y+1/4,x+3/4,-z+1/4'
'-y+1/4,-x+3/4,z+1/4'
'x+1/2,y+1/2,z+1/2'
'-x+1/2,-y+1/2,-z+1/2'
'-y+3/4,x+1/4,z+3/4'
'y+3/4,-x+1/4,-z+3/4'
'-x,-y+1/2,z'
'x,y+1/2,-z'
'y+3/4,-x+3/4,z+1/4'
'-y+3/4,x+3/4,-z+1/4'
'x+1/2,-y+1/2,-z+1/2'
'-x+1/2,y+1/2,z+1/2'
'-y+3/4,-x+3/4,-z+1/4'
'y+3/4,x+3/4,z+1/4'
'-x,y+1/2,-z'
'x,-y+1/2,z'
'y+3/4,x+1/4,-z+3/4'
'-y+3/4,-x+1/4,z+3/4'
loop_
_atom_site_label
_atom_site_type_symbol
_atom_site_fract_x
_atom_site_fract_y
_atom_site_fract_z
_atom_site_occupancy
Sr1 Sr 0.0000 0.2500 0.3750 1
Si1 Si 0.0000 0.0000 0.0000 1
W1 W 0.0000 0.2500 0.8750 1
# ΔE_f (raw), meV per atom: 249
# Fermi-level density of states, states/eV/atom: 0.659
# Offset from the most stable computed form, meV/atom: 134.2
# Energy, eV/atom: -27.750

(3)
# SrSiW2 SCAN PBEsol geometry
data_SrSiW2
_cell_length_a 2.6794
_cell_length_b 5.1137
_cell_length_c 10.7631
_cell_angle_alpha 90.00
_cell_angle_beta 90.00
_cell_angle_gamma 90.00
_space_group_name_H-M_alt 'I m m m'
_space_group_IT_number 71
_space_group_name_Hall '-I 2 2'
loop_
_atom_site_label
_atom_site_type_symbol
_atom_site_fract_x
_atom_site_fract_y
_atom_site_fract_z
_atom_site_occupancy
Sr1 Sr 0.0000 0.0000 0.0000 1
Si1 Si 0.0000 0.0000 0.5000 1
W1 W 0.0000 0.5000 0.2045 1
# ΔE_f (raw), meV per atom: 703
# Fermi-level density of states, states/eV/atom: 0.495
# Energy, eV/atom: -42.214

- Among the records above, which one has the highest Fermi-level density of states?
  number 1